# 1
Crystalline Dy2Co2Ru at its relaxed geometry, computed with PBE-GGA.

abc: 5.2420 5.2420 7.6754
angles: 100.88 100.88 62.16
Last column: nearest neighbours and their distance in Å.
Sites, in units of the cell vectors:
Dy: 0.0223 0.2780 0.1523  6 Co 2.85-3.00, 2 Ru 3.06-3.17
Dy: 0.2780 0.0223 0.6523  6 Co 2.85-3.00, 2 Ru 3.06-3.17
Dy: 0.7220 0.9777 0.3477  6 Co 2.85-3.00, 2 Ru 3.06-3.17
Dy: 0.9777 0.7220 0.8477  6 Co 2.85-3.00, 2 Ru 3.06-3.17
Co: 0.2337 0.4979 0.4994  1 Co 2.44, 2 Ru 2.48
Co: 0.4979 0.2337 0.9994  1 Co 2.44, 2 Ru 2.48
Co: 0.5021 0.7663 0.0006  1 Co 2.44, 2 Ru 2.48
Co: 0.7663 0.5021 0.5006  1 Co 2.44, 2 Ru 2.48
Ru: 0.3691 0.6309 0.2500  4 Co 2.48
Ru: 0.6309 0.3691 0.7500  4 Co 2.48

Values from the calculation:
- Formation energy: -1.13 eV per formula unit
- Magnetic moment: 2.345 μB/f.u.
- Final energy: -6.7638 eV per atom

=====

# 2
Crystalline Dy2Co2Ru at its relaxed geometry, computed with PBE-GGA.

abc: 6.5146 6.5146 4.2136
angles: 90.00 90.00 90.00
Last column: nearest neighbours and their distance in Å.
Sites, in units of the cell vectors:
Dy: 0.1842 0.3157 0.0000  6 Co 2.76-2.93
Dy: 0.3157 0.8158 0.0000  6 Co 2.76-2.93
Dy: 0.6842 0.1842 0.0000  6 Co 2.76-2.93
Dy: 0.8158 0.6842 0.0000  6 Co 2.76-2.93
Co: 0.1224 0.6224 0.5000  1 Co 2.26
Co: 0.3776 0.1224 0.5000  1 Co 2.26
Co: 0.6224 0.8776 0.5000  1 Co 2.26
Co: 0.8776 0.3776 0.5000  1 Co 2.26
Ru: 0.0000 0.0000 0.5000  4 Co 2.59
Ru: 0.5000 0.5000 0.5000  4 Co 2.59

Values from the calculation:
- Formation energy: -0.56 eV per formula unit
- Magnetic moment: 1.130 μB/f.u.
- Final energy: -6.6503 eV per atom

=====

# 3
Crystalline Dy2CoRu at its relaxed geometry, computed with PBE-GGA.

abc: 3.3869 3.3869 6.6758
angles: 90.00 90.00 90.00
Last column: nearest neighbours and their distance in Å.
Sites, in units of the cell vectors:
Dy: 0.0000 0.0000 0.2482  4 Co 2.91, 4 Ru 2.93
Dy: 0.0000 0.0000 0.7518  4 Co 2.91, 4 Ru 2.93
Co: 0.5000 0.5000 0.0000  8 Dy 2.91
Ru: 0.5000 0.5000 0.5000  8 Dy 2.93

Values from the calculation:
- Formation energy: -0.99 eV per formula unit
- Magnetic moment: 0.417 μB/f.u.
- Final energy: -6.6435 eV per atom

=====

# 4
Crystalline Dy2CoRu at its relaxed geometry, computed with PBE-GGA.

abc: 3.2496 3.2496 27.2069
angles: 90.00 90.00 120.00
Last column: nearest neighbours and their distance in Å.
Sites, in units of the cell vectors:
Dy: 0.0000 0.0000 0.0934  1 Ru 2.54, 3 Co 2.74
Dy: 0.0000 0.0000 0.9066  1 Ru 2.54, 3 Co 2.74
Dy: 0.3333 0.6667 0.5733  1 Ru 2.54, 3 Co 2.74
Dy: 0.3333 0.6667 0.7601  1 Ru 2.54, 3 Co 2.74
Dy: 0.6667 0.3333 0.2399  1 Ru 2.54, 3 Co 2.74
Dy: 0.6667 0.3333 0.4267  1 Ru 2.54, 3 Co 2.74
Co: 0.0000 0.0000 0.5000  6 Dy 2.74
Co: 0.3333 0.6667 0.1667  6 Dy 2.74
Co: 0.6667 0.3333 0.8333  6 Dy 2.74
Ru: 0.0000 0.0000 0.0000  2 Dy 2.54
Ru: 0.3333 0.6667 0.6667  2 Dy 2.54
Ru: 0.6667 0.3333 0.3333  2 Dy 2.54

Values from the calculation:
- Formation energy: 2.10 eV per formula unit
- Magnetic moment: 0.323 μB/f.u.
- Final energy: -5.8705 eV per atom

=====

# 5
Crystalline Dy8Co2Ru at its relaxed geometry, computed with PBE-GGA.

abc: 8.8663 8.8663 6.6590
angles: 106.22 106.22 32.30
Last column: nearest neighbours and their distance in Å.
Sites, in units of the cell vectors:
Dy: 0.0359 0.0359 0.2936  1 Co 2.84, 2 Ru 2.97
Dy: 0.2006 0.2006 0.8215  1 Co 2.61
Dy: 0.3281 0.3281 0.5270  1 Co 2.70, 1 Ru 2.99
Dy: 0.4057 0.4057 0.0489  1 Ru 2.97, 2 Co 3.15, 2 Dy 3.32
Dy: 0.5943 0.5943 0.9511  1 Ru 2.97, 2 Co 3.15, 2 Dy 3.32
Dy: 0.6719 0.6719 0.4730  1 Co 2.70, 1 Ru 2.99
Dy: 0.7994 0.7994 0.1785  1 Co 2.61
Dy: 0.9641 0.9641 0.7064  1 Co 2.84, 2 Ru 2.97
Co: 0.1890 0.1890 0.2043  3 Dy 2.61-2.84
Co: 0.8110 0.8110 0.7957  3 Dy 2.61-2.84
Ru: 0.5000 0.5000 0.5000  8 Dy 2.97-2.99

Values from the calculation:
- Formation energy: -1.75 eV per formula unit
- Magnetic moment: 0.001 μB/f.u.
- Final energy: -5.6412 eV per atom

=====

# 6
Crystalline Dy3CoRu at its relaxed geometry, computed with PBE-GGA.

abc: 7.6370 4.0525 7.9246
angles: 90.00 113.67 90.00
Last column: nearest neighbours and their distance in Å.
Sites, in units of the cell vectors:
Dy: 0.0873 0.2500 0.2207  3 Co 2.84-3.08, 2 Ru 2.91
Dy: 0.3120 0.2500 0.9199  1 Co 2.78, 3 Ru 2.86-3.06
Dy: 0.3717 0.7500 0.5946  3 Co 2.89-3.16, 3 Ru 2.98-3.17
Dy: 0.6283 0.2500 0.4054  3 Co 2.89-3.16, 3 Ru 2.98-3.17
Dy: 0.6880 0.7500 0.0801  1 Co 2.78, 3 Ru 2.86-3.06
Dy: 0.9127 0.7500 0.7793  3 Co 2.84-3.08, 2 Ru 2.91
Co: 0.0412 0.2500 0.5587  2 Co 2.21
Co: 0.9588 0.7500 0.4413  2 Co 2.21
Ru: 0.3431 0.7500 0.1845  8 Dy 2.86-3.17
Ru: 0.6569 0.2500 0.8155  8 Dy 2.86-3.17

Values from the calculation:
- Formation energy: -1.48 eV per formula unit
- Magnetic moment: 0.531 μB/f.u.
- Final energy: -6.3338 eV per atom

=====

# 7
Crystalline Dy2CoRu at its relaxed geometry, computed with PBE-GGA.

abc: 5.5079 4.0263 8.0485
angles: 90.00 107.33 90.00
Last column: nearest neighbours and their distance in Å.
Sites, in units of the cell vectors:
Dy: 0.2178 0.2500 0.4247  3 Ru 2.93-3.01, 4 Co 2.94-3.02
Dy: 0.2807 0.7500 0.0703  4 Ru 2.94-3.05, 3 Co 2.95-3.04
Dy: 0.7193 0.2500 0.9297  4 Ru 2.94-3.05, 3 Co 2.95-3.04
Dy: 0.7822 0.7500 0.5753  3 Ru 2.93-3.01, 4 Co 2.94-3.02
Co: 0.3395 0.7500 0.7178  2 Ru 2.34
Co: 0.6605 0.2500 0.2822  2 Ru 2.34
Ru: 0.1640 0.2500 0.7762  2 Co 2.34
Ru: 0.8360 0.7500 0.2238  2 Co 2.34

Values from the calculation:
- Formation energy: -1.00 eV per formula unit
- Magnetic moment: 0.802 μB/f.u.
- Final energy: -6.6469 eV per atom

=====

# 8
Crystalline Dy3Co3Ru at its relaxed geometry, computed with PBE-GGA.

abc: 5.4585 5.4585 12.5677
angles: 90.00 90.00 135.64
Last column: nearest neighbours and their distance in Å.
Sites, in units of the cell vectors:
Dy: 0.0125 0.9875 0.7500  7 Co 2.86-3.07, 2 Ru 3.14
Dy: 0.2784 0.7216 0.1046  6 Co 2.90-2.96, 1 Ru 3.11
Dy: 0.2784 0.7216 0.3954  6 Co 2.90-2.96, 1 Ru 3.11
Dy: 0.7216 0.2784 0.6046  6 Co 2.90-2.96, 1 Ru 3.11
Dy: 0.7216 0.2784 0.8954  6 Co 2.90-2.96, 1 Ru 3.11
Dy: 0.9875 0.0125 0.2500  7 Co 2.86-3.07, 2 Ru 3.14
Co: 0.3159 0.6841 0.7500  2 Co 2.32
Co: 0.4313 0.5687 0.5904  1 Co 2.32, 2 Ru 2.45
Co: 0.4313 0.5687 0.9096  1 Co 2.32, 2 Ru 2.45
Co: 0.5687 0.4313 0.0904  1 Co 2.32, 2 Ru 2.45
Co: 0.5687 0.4313 0.4096  1 Co 2.32, 2 Ru 2.45
Co: 0.6841 0.3159 0.2500  2 Co 2.32
Ru: 0.0000 0.0000 0.0000  4 Co 2.45
Ru: 0.0000 0.0000 0.5000  4 Co 2.45

Values from the calculation:
- Formation energy: -1.66 eV per formula unit
- Magnetic moment: 2.402 μB/f.u.
- Final energy: -6.5804 eV per atom

=====

# 9
Crystalline Dy8Co2Ru at its relaxed geometry, computed with PBE-GGA.

abc: 7.4278 7.4278 5.8178
angles: 100.09 100.09 114.15
Last column: nearest neighbours and their distance in Å.
Sites, in units of the cell vectors:
Dy: 0.0000 0.0000 0.0000  1 Ru 2.77, 2 Co 3.03
Dy: 0.0257 0.2837 0.5946  2 Co 2.70-2.72
Dy: 0.1499 0.5780 0.1872  1 Ru 2.70
Dy: 0.2837 0.0257 0.5946  2 Co 2.70-2.72
Dy: 0.4399 0.6994 0.7856  2 Co 2.72
Dy: 0.5780 0.1499 0.1872  1 Ru 2.70
Dy: 0.6994 0.4399 0.7856  2 Co 2.72
Dy: 0.7214 0.7214 0.3690  1 Ru 2.81, 2 Co 3.03
Co: 0.0543 0.6653 0.6841  4 Dy 2.70-2.72
Co: 0.6653 0.0543 0.6841  4 Dy 2.70-2.72
Ru: 0.3604 0.3604 0.1153  4 Dy 2.70-2.81

Values from the calculation:
- Formation energy: -1.15 eV per formula unit
- Magnetic moment: 0.000 μB/f.u.
- Final energy: -5.5870 eV per atom

=====

# 10
Crystalline Dy4CoRu at its relaxed geometry, computed with PBE-GGA.

abc: 7.8364 7.8364 6.1164
angles: 108.37 108.37 111.80
Last column: nearest neighbours and their distance in Å.
Sites, in units of the cell vectors:
Dy: 0.0478 0.6903 0.9003  2 Ru 2.89-2.99, 2 Co 2.91-2.96
Dy: 0.2389 0.3629 0.7278  2 Co 2.74-2.84, 2 Ru 2.81-3.06
Dy: 0.3097 0.9522 0.5997  2 Ru 2.89-2.99, 2 Co 2.91-2.96
Dy: 0.3629 0.2389 0.2278  2 Co 2.74-2.84, 2 Ru 2.81-3.06
Dy: 0.6371 0.7611 0.7722  2 Co 2.74-2.84, 2 Ru 2.81-3.06
Dy: 0.6903 0.0478 0.4003  2 Ru 2.89-2.99, 2 Co 2.91-2.96
Dy: 0.7611 0.6371 0.2722  2 Co 2.74-2.84, 2 Ru 2.81-3.06
Dy: 0.9522 0.3097 0.0997  2 Ru 2.89-2.99, 2 Co 2.91-2.96
Co: 0.0004 0.9996 0.2500  8 Dy 2.74-2.96, 2 Co 3.06
Co: 0.9996 0.0004 0.7500  8 Dy 2.74-2.96, 2 Co 3.06
Ru: 0.3649 0.6351 0.2500  8 Dy 2.81-3.06
Ru: 0.6351 0.3649 0.7500  8 Dy 2.81-3.06

Values from the calculation:
- Formation energy: -1.55 eV per formula unit
- Magnetic moment: 0.000 μB/f.u.
- Final energy: -6.0566 eV per atom

=====

# 11
Crystalline Dy2Co3Ru at its relaxed geometry, computed with PBE-GGA.

abc: 8.8675 5.1115 5.1420
angles: 90.00 124.94 90.00
Last column: nearest neighbours and their distance in Å.
Sites, in units of the cell vectors:
Dy: 0.1252 0.0000 0.3754  3 Ru 3.00, 9 Co 3.00-3.02, 4 Dy 3.13-3.16
Dy: 0.3748 0.5000 0.6246  3 Ru 3.00, 9 Co 3.00-3.02, 4 Dy 3.13-3.16
Dy: 0.6252 0.5000 0.3754  3 Ru 3.00, 9 Co 3.00-3.02, 4 Dy 3.13-3.16
Dy: 0.8748 0.0000 0.6246  3 Ru 3.00, 9 Co 3.00-3.02, 4 Dy 3.13-3.16
Co: 0.0000 0.5000 0.0000  4 Co 2.56, 2 Ru 2.57
Co: 0.2500 0.2500 0.0000  4 Co 2.56, 2 Ru 2.57
Co: 0.2500 0.7500 0.0000  4 Co 2.56, 2 Ru 2.57
Co: 0.5000 0.0000 0.0000  4 Co 2.56, 2 Ru 2.57
Co: 0.7500 0.2500 0.0000  4 Co 2.56, 2 Ru 2.57
Co: 0.7500 0.7500 0.0000  4 Co 2.56, 2 Ru 2.57
Ru: 0.0000 0.5000 0.5000  6 Co 2.57
Ru: 0.5000 0.0000 0.5000  6 Co 2.57

Values from the calculation:
- Formation energy: -1.38 eV per formula unit
- Magnetic moment: 2.757 μB/f.u.
- Final energy: -6.8625 eV per atom

=====

# 12
Crystalline Dy2CoRu at its relaxed geometry, computed with PBE-GGA.

abc: 4.0287 4.1657 10.1739
angles: 90.00 90.00 90.00
Last column: nearest neighbours and their distance in Å.
Sites, in units of the cell vectors:
Dy: 0.0000 0.0000 0.0000  3 Ru 2.92-3.04, 4 Co 3.02
Dy: 0.0000 0.5000 0.5000  3 Ru 2.92-3.04, 4 Co 3.02
Dy: 0.5000 0.0000 0.2912  3 Co 2.95-2.99, 4 Ru 3.04
Dy: 0.5000 0.5000 0.7912  3 Co 2.95-2.99, 4 Ru 3.04
Co: 0.5000 0.0000 0.5852  2 Ru 2.33
Co: 0.5000 0.5000 0.0852  2 Ru 2.33
Ru: 0.0000 0.0000 0.7008  2 Co 2.33
Ru: 0.0000 0.5000 0.2008  2 Co 2.33

Values from the calculation:
- Formation energy: -0.99 eV per formula unit
- Magnetic moment: 0.762 μB/f.u.
- Final energy: -6.6435 eV per atom